DFT (GGA+U) results for a relaxed structure of WSeN2F.

* energy: -5.494 eV/atom
* polymorph energy (0 for the lowest one): 0 meV per atom
* D(E_F): 3.51 states/eV/f.u.
* SG: P4/mmm

Unit cell a=4.0310 b=4.0310 c=4.0985 alpha=90.00 beta=90.00 gamma=90.00
Closest atoms and distances in Å follow each position.
Positions (direct):
W 0.0000 0.0000 0.0000  4 N 2.02, 2 F 2.05
Se 0.5000 0.5000 0.5000  4 F 2.85, 8 N 2.87
N 0.0000 0.5000 0.0000  2 W 2.02
N 0.5000 0.0000 0.0000  2 W 2.02
F 0.0000 0.0000 0.5000  2 W 2.05